Arrangement w

The following is a PBE calculation of a geometry-optimized RbNaCa2P structure, from Alexandria.

Results
* symmetry: P4/mmm
* theoretical density: 1.72 g/cm3

Lattice parameters (Å, degrees): 5.589 5.589 6.786 90.00 90.00 90.00
Fractional positions:
1 Rb 0.000 0.000 0.000
2 Na 0.500 0.500 0.000
3 Ca 0.000 0.500 0.500
4 Ca 0.500 0.000 0.500
5 P 0.000 0.000 0.500

---

Arrangement x

The following is a PBE calculation of a geometry-optimized RbNaCa2P structure, from Alexandria.

Results
* symmetry: P4/mmm
* theoretical density: 1.82 g/cm3

Lattice parameters (Å, degrees): 5.646 5.646 6.268 90.00 90.00 90.00
Fractional positions:
1 Rb 0.000 0.000 0.000
2 Na 0.500 0.500 0.000
3 Ca 0.000 0.500 0.500
4 Ca 0.500 0.000 0.500
5 P 0.500 0.500 0.500

---

It is arrangement x that is the least stable of them.

---

Arrangement w

The following is a PBE calculation of a geometry-optimized NaCaP2S structure, from Alexandria.

Results
* symmetry: P4/mmm
* theoretical density: 2.22 g/cm3

Lattice parameters (Å, degrees): 4.854 4.854 4.985 90.00 90.00 90.00
Fractional positions:
1 Na 0.000 0.000 0.000
2 Ca 0.500 0.500 0.500
3 P 0.000 0.500 0.000
4 P 0.500 0.000 0.000
5 S 0.000 0.000 0.500

---

Arrangement x

The following is a PBE calculation of a geometry-optimized NaCaP2S structure, from Alexandria.

Results
* symmetry: P4/mmm
* theoretical density: 1.75 g/cm3

Lattice parameters (Å, degrees): 5.324 5.324 5.254 90.00 90.00 90.00
Fractional positions:
1 Na 0.000 0.000 0.000
2 Ca 0.500 0.500 0.500
3 P 0.000 0.500 0.500
4 P 0.500 0.000 0.500
5 S 0.500 0.500 0.000

---

It is arrangement w that is the least stable of them.

---

Arrangement w

The following is a PBE calculation of a geometry-optimized NaCaPS2 structure, from Alexandria.

Results
* symmetry: P4/mmm
* theoretical density: 2.23 g/cm3

Lattice parameters (Å, degrees): 4.974 4.974 4.763 90.00 90.00 90.00
Fractional positions:
1 Na 0.000 0.000 0.000
2 Ca 0.500 0.500 0.500
3 P 0.000 0.000 0.500
4 S 0.000 0.500 0.000
5 S 0.500 0.000 0.000

---

Arrangement x

The following is a PBE calculation of a geometry-optimized NaCaPS2 structure, from Alexandria.

Results
* symmetry: P4/mmm
* theoretical density: 1.69 g/cm3

Lattice parameters (Å, degrees): 5.339 5.339 5.466 90.00 90.00 90.00
Fractional positions:
1 Na 0.000 0.000 0.000
2 Ca 0.500 0.500 0.500
3 P 0.500 0.500 0.000
4 S 0.000 0.500 0.500
5 S 0.500 0.000 0.500

---

It is arrangement w that is the least stable of them.

---

Arrangement w

The following is a PBE calculation of a geometry-optimized Na2Ca2Pb structure, from Alexandria.

Results
* symmetry: P4/mbm
* theoretical density: 2.77 g/cm3

Lattice parameters (Å, degrees): 8.245 8.245 5.889 90.00 90.00 90.00
Fractional positions:
1 Na 0.159 0.341 0.000
2 Na 0.341 0.841 0.000
3 Na 0.659 0.159 0.000
4 Na 0.841 0.659 0.000
5 Ca 0.159 0.659 0.500
6 Ca 0.341 0.159 0.500
7 Ca 0.659 0.841 0.500
8 Ca 0.841 0.341 0.500
9 Pb 0.000 0.000 0.500
10 Pb 0.500 0.500 0.500

---

Arrangement x

The following is a PBE calculation of a geometry-optimized Na2Ca2Pb structure, from Alexandria.

Results
* symmetry: I4/mmm
* theoretical density: 3.13 g/cm3

Lattice parameters (Å, degrees): 10.459 10.459 10.459 156.85 156.85 32.97
Fractional positions:
1 Na 0.250 0.750 0.500
2 Na 0.750 0.250 0.500
3 Ca 0.088 0.088 0.000
4 Ca 0.912 0.912 0.000
5 Pb 0.500 0.500 0.000

---

It is arrangement w that is the least stable of them.

---

Arrangement w

The following is a PBE calculation of a geometry-optimized NaCaPb3 structure, from Alexandria.

Results
* symmetry: P2_1/m
* theoretical density: 6.85 g/cm3

Lattice parameters (Å, degrees): 3.697 9.484 9.466 90.00 90.02 90.00
Fractional positions:
1 Na 0.000 0.250 0.127
2 Na 0.000 0.750 0.873
3 Ca 0.000 0.250 0.536
4 Ca 0.000 0.750 0.464
5 Pb 0.499 0.250 0.842
6 Pb 0.500 0.033 0.332
7 Pb 0.500 0.467 0.332
8 Pb 0.500 0.533 0.668
9 Pb 0.500 0.967 0.668
10 Pb 0.501 0.750 0.158

---

Arrangement x

The following is a PBE calculation of a geometry-optimized NaCaPb3 structure, from Alexandria.

Results
* symmetry: Pm-3m
* theoretical density: 6.68 g/cm3

Lattice parameters (Å, degrees): 5.542 5.542 5.542 90.00 90.00 90.00
Fractional positions:
1 Na 0.000 0.000 0.000
2 Ca 0.500 0.500 0.500
3 Pb 0.000 0.000 0.500
4 Pb 0.000 0.500 0.000
5 Pb 0.500 0.000 0.000

---

Arrangement y

The following is a PBE calculation of a geometry-optimized NaCaPb3 structure, from Alexandria.

Results
* symmetry: P2_1/m
* theoretical density: 7.08 g/cm3

Lattice parameters (Å, degrees): 5.595 6.321 9.500 90.00 107.04 90.00
Fractional positions:
1 Na 0.133 0.250 0.262
2 Na 0.867 0.750 0.738
3 Ca 0.334 0.250 0.667
4 Ca 0.666 0.750 0.333
5 Pb 0.065 0.750 0.130
6 Pb 0.253 0.750 0.507
7 Pb 0.500 0.000 0.000
8 Pb 0.500 0.500 0.000
9 Pb 0.747 0.250 0.493
10 Pb 0.935 0.250 0.870

---

It is arrangement x that is the least stable of them.

---

Arrangement w

The following is a PBE calculation of a geometry-optimized NaCaPb4 structure, from Alexandria.

Results
* symmetry: P1
* theoretical density: 8.01 g/cm3

Lattice parameters (Å, degrees): 5.716 6.046 6.160 75.47 64.66 77.70
Fractional positions:
1 Na 0.000 0.000 0.000
2 Ca 0.000 0.500 0.499
3 Pb 0.332 0.480 0.855
4 Pb 0.337 0.985 0.344
5 Pb 0.663 0.013 0.657
6 Pb 0.668 0.519 0.143

---

Arrangement x

The following is a PBE calculation of a geometry-optimized NaCaPb4 structure, from Alexandria.

Results
* symmetry: P4/mmm
* theoretical density: 7.47 g/cm3

Lattice parameters (Å, degrees): 5.082 5.082 7.675 90.00 90.00 90.00
Fractional positions:
1 Na 0.000 0.000 0.000
2 Ca 0.500 0.500 0.500
3 Pb 0.000 0.500 0.221
4 Pb 0.000 0.500 0.779
5 Pb 0.500 0.000 0.221
6 Pb 0.500 0.000 0.779

---

Arrangement y

The following is a PBE calculation of a geometry-optimized NaCaPb4 structure, from Alexandria.

Results
* symmetry: F-43m
* theoretical density: 7.38 g/cm3

Lattice parameters (Å, degrees): 6.571 6.571 6.571 60.00 60.00 60.00
Fractional positions:
1 Na 0.000 0.000 0.000
2 Ca 0.250 0.250 0.250
3 Pb 0.126 0.625 0.625
4 Pb 0.625 0.126 0.625
5 Pb 0.625 0.625 0.126
6 Pb 0.625 0.625 0.625

---

It is arrangement x that is the least stable of them.